# 1
Crystalline CdSbAu at its relaxed geometry, computed with PBE-GGA.

Unit cell a=7.4389 b=4.1363 c=8.8385 alpha=90.00 beta=90.00 gamma=90.00
Fractional positions:
Sb 0.4353 0.2500 0.3350
Sb 0.0647 0.7500 0.8350
Sb 0.9353 0.2500 0.1650
Sb 0.5647 0.7500 0.6650
Cd 0.3747 0.2500 0.9381
Cd 0.6253 0.7500 0.0619
Cd 0.1253 0.7500 0.4381
Cd 0.8747 0.2500 0.5619
Au 0.7346 0.7500 0.3661
Au 0.7654 0.2500 0.8661
Au 0.2346 0.7500 0.1339
Au 0.2654 0.2500 0.6339

crystal system = orthorhombic
symmetry = Pnma, No. 62
raw total energy = -33.75 eV/cell



# 2
Crystalline CdSbAu2 at its relaxed geometry, computed with PBE-GGA.

Unit cell a=4.9405 b=4.9405 c=4.9405 alpha=60.00 beta=60.00 gamma=60.00
Fractional positions:
Au 0.0000 0.0000 0.0000
Au 0.7500 0.7500 0.7500
Cd 0.2500 0.2500 0.2500
Sb 0.5000 0.5000 0.5000

crystal system = cubic
symmetry = F-43m, No. 216
raw total energy = -11.06 eV/cell



# 3
Crystalline Sc2CdAu2 at its relaxed geometry, computed with PBE-GGA.

Unit cell a=7.2828 b=7.2828 c=7.2828 alpha=146.83 beta=146.83 gamma=47.62
Fractional positions:
Sc 0.3859 0.3859 0.0000
Sc 0.6141 0.6141 0.0000
Au 0.2500 0.7500 0.5000
Au 0.7500 0.2500 0.5000
Cd 0.0000 0.0000 0.0000

DFT formation energy = -0.259 eV per atom
crystal system = tetragonal
symmetry = I4/mmm, No. 139
magnetization = 0.05 μB per formula unit
raw total energy = -21.38 eV/cell



# 4
Crystalline ScCdAu at its relaxed geometry, computed with PBE-GGA.

Unit cell a=4.8663 b=4.8663 c=5.8534 alpha=90.00 beta=90.00 gamma=120.06
Fractional positions:
Cd 0.0000 0.0000 0.0000
Cd 0.0000 0.0000 0.5000
Au 0.3337 0.6663 0.7500
Au 0.6663 0.3337 0.2500
Sc 0.3331 0.6669 0.2500
Sc 0.6669 0.3331 0.7500

DFT formation energy = -0.610 eV per atom
crystal system = orthorhombic
symmetry = Cmcm, No. 63
magnetization = 0.00 μB per formula unit
raw total energy = -24.64 eV/cell



# 5
Crystalline ScCd2Au at its relaxed geometry, computed with PBE-GGA.

Unit cell a=4.8245 b=4.8245 c=4.8245 alpha=60.00 beta=60.00 gamma=60.00
Fractional positions:
Sc 0.0000 0.0000 0.0000
Au 0.7500 0.7500 0.7500
Cd 0.2500 0.2500 0.2500
Cd 0.5000 0.5000 0.5000

DFT formation energy = -0.417 eV per atom
crystal system = cubic
symmetry = F-43m, No. 216
magnetization = 0.00 μB per formula unit
raw total energy = -13.06 eV/cell



# 6
Crystalline Sc2CdAu at its relaxed geometry, computed with PBE-GGA.

Unit cell a=4.8319 b=4.8319 c=4.8319 alpha=60.00 beta=60.00 gamma=60.00
Site moments in Bohr magnetons follow the coordinates.
Fractional positions:
Cd 0.2500 0.2500 0.2500  0.00
Sc 0.0000 0.0000 0.0000  0.45
Sc 0.7500 0.7500 0.7500  0.31
Au 0.5000 0.5000 0.5000  0.01

DFT formation energy = -0.316 eV per atom
crystal system = cubic
symmetry = F-43m, No. 216
magnetization = 1.00 μB per formula unit
raw total energy = -18.08 eV/cell



# 7
Crystalline Sc2ZnCd3Au2 at its relaxed geometry, computed with PBE-GGA.

Unit cell a=4.7754 b=4.7754 c=6.7455 alpha=90.00 beta=90.00 gamma=90.00
Fractional positions:
Au 0.5000 0.5000 0.0000
Au 0.0000 0.0000 0.5000
Sc 0.0000 0.5000 0.2602
Sc 0.5000 0.0000 0.7398
Cd 0.5000 0.0000 0.2563
Cd 0.0000 0.0000 0.0000
Cd 0.0000 0.5000 0.7437
Zn 0.5000 0.5000 0.5000

DFT formation energy = -0.434 eV per atom
crystal system = tetragonal
symmetry = P-4m2, No. 115
magnetization = 0.00 μB per formula unit
raw total energy = -26.61 eV/cell



# 8
Crystalline CdSi2Au2 at its relaxed geometry, computed with PBE-GGA.

Unit cell a=6.9361 b=6.9361 c=6.9361 alpha=148.18 beta=148.18 gamma=45.61
Fractional positions:
Au 0.3920 0.3920 0.0000
Au 0.6080 0.6080 0.0000
Cd 0.0000 0.0000 0.0000
Si 0.7500 0.2500 0.5000
Si 0.2500 0.7500 0.5000

crystal system = tetragonal
symmetry = I4/mmm, No. 139
raw total energy = -17.72 eV/cell